The following is a PBE calculation of HfPd6Pt8 after structural relaxation, from Alexandria via LeMat-Bulk.

a = 7.131 Å, b = 7.131 Å, c = 7.131 Å
α = 58.09°, β = 58.09°, γ = 58.09°
Positions (direct):
Hf (0.000, 0.000, 0.000)
Pd (0.073, 0.537, 0.249)
Pd (0.249, 0.073, 0.537)
Pd (0.463, 0.751, 0.927)
Pd (0.537, 0.249, 0.073)
Pd (0.751, 0.927, 0.463)
Pd (0.927, 0.463, 0.751)
Pt (0.158, 0.158, 0.158)
Pt (0.229, 0.696, 0.393)
Pt (0.304, 0.607, 0.771)
Pt (0.393, 0.229, 0.696)
Pt (0.607, 0.771, 0.304)
Pt (0.696, 0.393, 0.229)
Pt (0.771, 0.304, 0.607)
Pt (0.842, 0.842, 0.842)

Formation energy   -0.133 eV/atom
Magnetic moment   0.00 μB per atom
V   16.3 Å³ per atom